(1)
Computed, not measured: an optimized crystal structure of PrErGaPt at the PBE-GGA level of DFT.

Geometry as CIF:
```
data_PrErGaPt
_cell_length_a 7.206
_cell_length_b 7.206
_cell_length_c 7.206
_cell_angle_alpha 90.00
_cell_angle_beta 90.00
_cell_angle_gamma 90.00
_symmetry_space_group_name_H-M 'F -4 3 m'
_symmetry_Int_Tables_number 216
_symmetry_space_group_name_Hall 'F -4 2 3'
loop_
_atom_site_label
_atom_site_type_symbol
_atom_site_fract_x
_atom_site_fract_y
_atom_site_fract_z
Pr1 Pr 0.000 0.000 0.000
Er1 Er 0.000 0.000 0.500
Ga1 Ga 0.250 0.250 0.750
Pt1 Pt 0.250 0.250 0.250
```

Summary:
The calculation puts the energy above the most stable polymorph in this dataset at 100 meV per atom. The calculated formation energy comes out at -0.78 eV per atom. The density of states at the Fermi level is 0.79 states/eV per atom. The calculation puts the spin magnetization at 0.00 μB/cell.

---

(2)
Computed, not measured: an optimized crystal structure of Pr2ErGa3Rh4 at the PBE-GGA level of DFT.

Geometry as CIF:
```
data_Pr2ErGa3Rh4
_cell_length_a 4.304
_cell_length_b 4.304
_cell_length_c 10.874
_cell_angle_alpha 90.00
_cell_angle_beta 90.00
_cell_angle_gamma 90.00
_symmetry_space_group_name_H-M 'P -4 m 2'
_symmetry_Int_Tables_number 115
loop_
_symmetry_equiv_pos_as_xyz
'x,y,z'
'y,-x,-z'
'-x,-y,z'
'-y,x,-z'
'-x,y,z'
'-y,-x,-z'
'x,-y,z'
'y,x,-z'
loop_
_atom_site_label
_atom_site_type_symbol
_atom_site_fract_x
_atom_site_fract_y
_atom_site_fract_z
Pr1 Pr 0.000 0.500 0.223
Er1 Er 0.000 0.000 0.500
Ga1 Ga 0.000 0.500 0.883
Ga2 Ga 0.500 0.500 0.500
Rh1 Rh 0.000 0.000 0.000
Rh2 Rh 0.000 0.500 0.651
Rh3 Rh 0.500 0.500 0.000
```

Summary:
The calculated formation energy comes out at -0.79 eV per atom. The density of states at the Fermi level is 0.66 states/eV per atom. The calculation puts the spin magnetization at 0.00 μB/cell.

---

(3)
Computed, not measured: an optimized crystal structure of PrErGaRh at the PBE-GGA level of DFT.

Geometry as CIF:
```
data_PrErGaRh
_cell_length_a 7.140
_cell_length_b 7.140
_cell_length_c 7.140
_cell_angle_alpha 90.00
_cell_angle_beta 90.00
_cell_angle_gamma 90.00
_symmetry_space_group_name_H-M 'F -4 3 m'
_symmetry_Int_Tables_number 216
_symmetry_space_group_name_Hall 'F -4 2 3'
loop_
_atom_site_label
_atom_site_type_symbol
_atom_site_fract_x
_atom_site_fract_y
_atom_site_fract_z
Pr1 Pr 0.000 0.000 0.000
Er1 Er 0.000 0.000 0.500
Ga1 Ga 0.250 0.250 0.750
Rh1 Rh 0.250 0.250 0.250
```

Summary:
The calculation puts the energy above the most stable polymorph in this dataset at 97 meV per atom. The calculated formation energy comes out at -0.59 eV per atom. The density of states at the Fermi level is 0.92 states/eV per atom. The calculation puts the spin magnetization at 0.00 μB/cell.

---

(4)
Computed, not measured: an optimized crystal structure of PrErGaRh at the PBE-GGA level of DFT.

Geometry as CIF:
```
data_PrErGaRh
_cell_length_a 3.898
_cell_length_b 4.325
_cell_length_c 11.259
_cell_angle_alpha 90.00
_cell_angle_beta 90.00
_cell_angle_gamma 90.00
_symmetry_space_group_name_H-M 'A m m 2'
_symmetry_Int_Tables_number 38
loop_
_symmetry_equiv_pos_as_xyz
'x,y,z'
'-x,-y,z'
'-x,y,z'
'x,-y,z'
'x,y+1/2,z+1/2'
'-x,-y+1/2,z+1/2'
'-x,y+1/2,z+1/2'
'x,-y+1/2,z+1/2'
loop_
_atom_site_label
_atom_site_type_symbol
_atom_site_fract_x
_atom_site_fract_y
_atom_site_fract_z
Pr1 Pr 0.000 0.000 0.000
Er1 Er 0.500 0.000 0.286
Ga1 Ga 0.500 0.000 0.590
Rh1 Rh 0.000 0.000 0.740
```

Summary:
The calculation puts the energy above the most stable polymorph in this dataset at 0 meV per atom. The calculated formation energy comes out at -0.68 eV per atom. The density of states at the Fermi level is 0.75 states/eV per atom. The calculation puts the spin magnetization at 0.00 μB/cell.

---

(5)
Computed, not measured: an optimized crystal structure of PrErGa2Ru2 at the PBE-GGA level of DFT.

Geometry as CIF:
```
data_PrErGa2Ru2
_cell_length_a 4.3509
_cell_length_b 4.3509
_cell_length_c 7.5012
_cell_angle_alpha 90.00
_cell_angle_beta 90.00
_cell_angle_gamma 120.00
_symmetry_space_group_name_H-M 'P -3 m 1'
_symmetry_Int_Tables_number 164
_symmetry_space_group_name_Hall '-P 3 2"'
loop_
_atom_site_label
_atom_site_type_symbol
_atom_site_fract_x
_atom_site_fract_y
_atom_site_fract_z
Pr1 Pr 0.0000 0.0000 0.0000
Er1 Er 0.0000 0.0000 0.5000
Ga1 Ga 0.3333 0.6667 0.2754
Ru1 Ru 0.3333 0.6667 0.7282
```

Summary:
The calculated formation energy comes out at -0.46 eV per atom. The density of states at the Fermi level is 0.50 states/eV per atom. The calculation puts the spin magnetization at 0.00 μB/cell.

---

(6)
Computed, not measured: an optimized crystal structure of PrErGaRu at the PBE-GGA level of DFT.

Geometry as CIF:
```
data_PrErGaRu
_cell_length_a 7.099
_cell_length_b 7.099
_cell_length_c 7.099
_cell_angle_alpha 90.00
_cell_angle_beta 90.00
_cell_angle_gamma 90.00
_symmetry_space_group_name_H-M 'F -4 3 m'
_symmetry_Int_Tables_number 216
_symmetry_space_group_name_Hall 'F -4 2 3'
loop_
_atom_site_label
_atom_site_type_symbol
_atom_site_fract_x
_atom_site_fract_y
_atom_site_fract_z
Pr1 Pr 0.000 0.000 0.000
Er1 Er 0.000 0.000 0.500
Ga1 Ga 0.250 0.250 0.750
Ru1 Ru 0.250 0.250 0.250
```

Summary:
The calculation puts the energy above the most stable polymorph in this dataset at 69 meV per atom. The calculated formation energy comes out at -0.35 eV per atom. The density of states at the Fermi level is 0.60 states/eV per atom. The calculation puts the spin magnetization at 0.00 μB/cell.

---

(7)
Computed, not measured: an optimized crystal structure of PrErGaRu at the PBE-GGA level of DFT.

Geometry as CIF:
```
data_PrErGaRu
_cell_length_a 3.896
_cell_length_b 4.413
_cell_length_c 10.962
_cell_angle_alpha 90.00
_cell_angle_beta 90.00
_cell_angle_gamma 90.00
_symmetry_space_group_name_H-M 'A m m 2'
_symmetry_Int_Tables_number 38
loop_
_symmetry_equiv_pos_as_xyz
'x,y,z'
'-x,-y,z'
'-x,y,z'
'x,-y,z'
'x,y+1/2,z+1/2'
'-x,-y+1/2,z+1/2'
'-x,y+1/2,z+1/2'
'x,-y+1/2,z+1/2'
loop_
_atom_site_label
_atom_site_type_symbol
_atom_site_fract_x
_atom_site_fract_y
_atom_site_fract_z
Pr1 Pr 0.000 0.000 0.000
Er1 Er 0.500 0.000 0.714
Ga1 Ga 0.500 0.000 0.406
Ru1 Ru 0.000 0.000 0.254
```

Summary:
The calculation puts the energy above the most stable polymorph in this dataset at 0 meV per atom. The calculated formation energy comes out at -0.42 eV per atom. The density of states at the Fermi level is 1.12 states/eV per atom. The calculation puts the spin magnetization at 0.00 μB/cell.

---

(8)
Computed, not measured: an optimized crystal structure of PrErScGa at the PBE-GGA level of DFT.

Geometry as CIF:
```
data_PrErScGa
_cell_length_a 7.451
_cell_length_b 7.451
_cell_length_c 7.451
_cell_angle_alpha 90.00
_cell_angle_beta 90.00
_cell_angle_gamma 90.00
_symmetry_space_group_name_H-M 'F -4 3 m'
_symmetry_Int_Tables_number 216
_symmetry_space_group_name_Hall 'F -4 2 3'
loop_
_atom_site_label
_atom_site_type_symbol
_atom_site_fract_x
_atom_site_fract_y
_atom_site_fract_z
Pr1 Pr 0.000 0.000 0.000
Er1 Er 0.000 0.000 0.500
Sc1 Sc 0.250 0.250 0.750
Ga1 Ga 0.250 0.250 0.250
```

Summary:
The calculated formation energy comes out at -0.14 eV per atom. The density of states at the Fermi level is 1.17 states/eV per atom. The calculation puts the spin magnetization at 4.49 μB/cell.

---

(9)
Computed, not measured: an optimized crystal structure of TbPrErGa at the PBE-GGA level of DFT.

Geometry as CIF:
```
data_TbPrErGa
_cell_length_a 7.620
_cell_length_b 7.620
_cell_length_c 7.620
_cell_angle_alpha 90.00
_cell_angle_beta 90.00
_cell_angle_gamma 90.00
_symmetry_space_group_name_H-M 'F -4 3 m'
_symmetry_Int_Tables_number 216
_symmetry_space_group_name_Hall 'F -4 2 3'
loop_
_atom_site_label
_atom_site_type_symbol
_atom_site_fract_x
_atom_site_fract_y
_atom_site_fract_z
Tb1 Tb 0.000 0.000 0.000
Pr1 Pr 0.000 0.000 0.500
Er1 Er 0.250 0.250 0.750
Ga1 Ga 0.250 0.250 0.250
```

Summary:
The calculated formation energy comes out at -0.10 eV per atom. The density of states at the Fermi level is 1.63 states/eV per atom. The calculation puts the spin magnetization at 3.03 μB/cell.

---

(10)
Computed, not measured: an optimized crystal structure of PrErTlGa at the PBE-GGA level of DFT.

Geometry as CIF:
```
data_PrErTlGa
_cell_length_a 7.510
_cell_length_b 7.510
_cell_length_c 7.510
_cell_angle_alpha 90.00
_cell_angle_beta 90.00
_cell_angle_gamma 90.00
_symmetry_space_group_name_H-M 'F -4 3 m'
_symmetry_Int_Tables_number 216
_symmetry_space_group_name_Hall 'F -4 2 3'
loop_
_atom_site_label
_atom_site_type_symbol
_atom_site_fract_x
_atom_site_fract_y
_atom_site_fract_z
Pr1 Pr 0.000 0.000 0.000
Er1 Er 0.000 0.000 0.500
Tl1 Tl 0.250 0.250 0.250
Ga1 Ga 0.250 0.250 0.750
```

Summary:
The calculation puts the energy above the most stable polymorph in this dataset at 40 meV per atom. The calculated formation energy comes out at -0.42 eV per atom. The density of states at the Fermi level is 0.46 states/eV per atom. The calculation puts the spin magnetization at 0.00 μB/cell.

---

Question: The highest calculated formation energy belongs to which entry?
Answer: TbPrErGa